Compound: LiDyS2
Source: the Alexandria database
Functional: SCAN
Structure: PBEsol geometry

```
LiDyS2
1.0
3.8578 0.0000 0.0000
0.0000 3.8578 0.0000
0.0000 0.0000 5.2696
S Dy Li
2 1 1
direct
0.5000 0.5000 0.0000
0.0000 0.0000 0.5000
0.0000 0.0000 0.0000
0.5000 0.5000 0.5000
```

Output
For the formation energy without anion corrections, the calculation gives -2019 meV per atom.

Compound: LiDyS2
Source: the Alexandria database
Functional: SCAN
Structure: PBEsol geometry

```
LiDyS2
1.0
3.8606 0.0004 0.0001
1.9306 3.3432 0.0001
1.9306 1.1147 6.0648
S Li Dy
2 1 1
direct
0.2492 0.2492 0.2528
0.7509 0.7509 0.7472
0.5000 0.5000 0.5000
0.0000 0.0000 0.0000
```

Output
For the formation energy without anion corrections, the calculation gives -2096 meV per atom.

Compound: Li3DySb2
Source: the Alexandria database
Functional: SCAN
Structure: PBEsol geometry

```
Li3DySb2
1.0
4.4906 0.0000 0.0000
-2.2453 3.8890 0.0000
0.0000 0.0000 7.0398
Sb Dy Li
2 1 3
direct
0.3333 0.6667 0.2472
0.6667 0.3333 0.7528
0.0000 0.0000 0.0000
0.3333 0.6667 0.6518
0.6667 0.3333 0.3482
0.0000 0.0000 0.5000
```

Output
For the formation energy without anion corrections, the calculation gives -876 meV per atom.

Compound: LiDy2Tl
Source: the Alexandria database
Functional: SCAN
Structure: PBEsol geometry

```
LiDy2Tl
1.0
5.2007 0.0000 0.0000
2.6003 4.5039 0.0000
2.6003 1.5013 4.2463
Tl Dy Li
1 2 1
direct
0.5000 0.5000 0.5000
0.2500 0.2500 0.2500
0.7500 0.7500 0.7500
0.0000 0.0000 0.0000
```

Output
As for the calculated formation energy: -0.333 eV per atom.

Compound: DyLuO3
Source: the Alexandria database
Functional: SCAN
Structure: PBEsol geometry

```
DyLuO3
1.0
5.5245 0.0000 0.0000
0.0000 5.8040 0.0000
0.0000 0.0000 8.1380
Dy Lu O
4 4 12
direct
0.9787 0.0581 0.2500
0.4787 0.4419 0.7500
0.5213 0.5581 0.2500
0.0213 0.9419 0.7500
0.5000 0.0000 0.0000
0.5000 0.0000 0.5000
0.0000 0.5000 0.0000
0.0000 0.5000 0.5000
0.6449 0.0720 0.7500
0.1874 0.1910 0.5771
0.1874 0.1910 0.9229
0.6874 0.3090 0.4229
0.6874 0.3090 0.0771
0.1449 0.4280 0.2500
0.8551 0.5720 0.7500
0.3126 0.6910 0.5771
0.3126 0.6910 0.9229
0.8126 0.8090 0.0771
0.8126 0.8090 0.4229
0.3551 0.9280 0.2500
```

Output
For the formation energy without anion corrections, the calculation gives -3935 meV per atom.

Compound: DyLuRh2
Source: the Alexandria database
Functional: SCAN
Structure: PBEsol geometry

```
DyLuRh2
1.0
-3.0285 -1.0846 3.4455
-2.1650 -4.1871 0.0034
1.1536 -3.2472 3.2163
Lu Rh Dy
1 2 1
direct
0.0000 0.0000 0.0000
0.2500 0.2500 0.2500
0.7500 0.7500 0.7500
0.5000 0.5000 0.5000
```

Output
As for the calculated formation energy: -1.080 eV per atom.

Compound: DyLuTl2
Source: the Alexandria database
Functional: SCAN
Structure: PBEsol geometry

```
DyLuTl2
1.0
-3.4015 -3.9579 0.0756
1.4368 -4.7093 -1.7318
0.6476 -3.9335 3.3688
Tl Lu Dy
2 1 1
direct
0.2500 0.2500 0.2500
0.7500 0.7500 0.7500
0.0000 0.0000 0.0000
0.5000 0.5000 0.5000
```

Output
As for the calculated formation energy: -0.484 eV per atom.

Compound: Dy2Mg
Source: the Alexandria database
Functional: SCAN
Structure: PBEsol geometry

```
Dy2Mg
1.0
-1.1273 3.4135 -0.3304
-1.7719 -1.0664 -4.9720
-6.9796 -3.8924 3.3223
Mg Dy
2 4
direct
0.9345 0.7500 0.8691
0.0655 0.2500 0.1309
0.5940 0.7500 0.1881
0.2727 0.7500 0.5454
0.4060 0.2500 0.8119
0.7273 0.2500 0.4546
```

Output
As for the calculated formation energy: -0.063 eV per atom.

Compound: DyMg5
Source: the Alexandria database
Functional: SCAN
Structure: PBEsol geometry

```
DyMg5
1.0
3.6459 0.0000 0.0000
-1.8229 5.9073 -0.0069
0.0000 -2.1251 6.6887
Mg Dy
5 1
direct
0.6754 0.3507 0.8290
0.3287 0.6574 0.6556
0.0000 0.0000 0.5000
0.6713 0.3426 0.3444
0.3246 0.6493 0.1710
0.0000 0.0000 0.0000
```

Output
As for the calculated formation energy: -0.002 eV per atom.

Compound: Dy3Mg
Source: the Alexandria database
Functional: SCAN
Structure: PBEsol geometry

```
Dy3Mg
1.0
-0.8227 -2.2005 2.5770
2.9915 0.7740 1.6160
-4.2001 6.8396 4.4993
Mg Dy
1 3
direct
0.0000 0.0000 0.0000
0.5000 0.5000 0.7600
0.0000 0.0000 0.5000
0.5000 0.5000 0.2400
```

Output
As for the calculated formation energy: -0.026 eV per atom.

Compound: Dy5Mg
Source: the Alexandria database
Functional: SCAN
Structure: PBEsol geometry

```
Dy5Mg
1.0
-2.5944 -2.2179 0.8064
3.6504 -3.4296 2.3116
0.2089 5.2299 7.4295
Mg Dy
1 5
direct
0.2211 0.0000 0.4422
0.0025 0.5000 0.0049
0.6712 0.5000 0.3424
0.3330 0.5000 0.6660
0.5536 0.0000 0.1071
0.8853 0.0000 0.7706
```

Output
As for the calculated formation energy: 0.008 eV per atom.

- Which formula does entry 4 have?
  LiDy2Tl